No. 1
Here is a geometry-optimized Cu2Te8Pd structure from the Alexandria database. Energies are from PBE.

```
11
Lattice="6.948 -0.317 -0.222 0.539 6.714 -0.394 0.539 1.940 6.440" Properties=species:S:1:pos:R:3 pbc="T T T"
Te 2.280 1.190 0.831
Te 5.746 7.147 4.992
Cu 3.145 6.947 4.852
Te 5.187 3.559 2.486
Te 1.347 4.125 0.495
Cu 4.881 1.390 0.971
Te 1.347 1.884 3.702
Te 2.839 4.778 3.338
Te 6.678 6.453 2.121
Pd 0.000 0.000 0.000
Te 6.678 4.212 5.329
```

M_tot = 0.00 Bohr magnetons per cell
formation energy from raw total energies = -0.002 eV per atom
mass density = 6775 kg/m³


No. 2
Here is a geometry-optimized AlAgIr structure from the Alexandria database. Energies are from PBE.

```
3
Lattice="4.169 0.000 0.000 2.084 3.610 0.000 2.084 1.203 3.404" Properties=species:S:1:pos:R:3 pbc="T T T"
Al 6.253 3.610 2.553
Ir 0.000 0.000 0.000
Ag 4.169 2.407 1.702
```

M_tot = 0.00 Bohr magnetons per cell
energy of formation = -0.072 eV/atom
offset from the most stable computed form = 212 meV per atom
mass density = 10602 kg/m³


No. 3
Here is a geometry-optimized La2CeGa2 structure from the Alexandria database. Energies are from PBE.

```
10
Lattice="-5.133 0.825 3.254 -4.465 -4.637 -5.868 5.904 -2.907 4.270" Properties=species:S:1:pos:R:3 pbc="T T T"
Ga -3.362 -1.721 0.913
La -3.474 -4.708 1.494
Ga -0.332 -4.997 0.743
La -2.009 -6.264 -1.581
Ce -3.516 -2.112 -2.120
La -1.686 -0.455 3.237
La -0.220 -2.011 0.162
Ce -6.083 -1.700 -0.493
Ga -0.510 -2.104 5.510
Ga -3.185 -4.615 -3.854
```

M_tot = 2.29 Bohr magnetons per cell
energy of formation = -0.279 eV/atom
offset from the most stable computed form = 145 meV per atom
mass density = 6017 kg/m³


No. 4
Here is a geometry-optimized Ca2Sc structure from the Alexandria database. Energies are from PBE.

```
3
Lattice="3.643 0.000 0.000 -1.822 3.155 0.000 0.000 0.000 9.041" Properties=species:S:1:pos:R:3 pbc="T T T"
Sc 0.000 0.000 0.000
Ca 1.822 1.052 6.187
Ca 0.000 2.104 2.854
```

M_tot = 1.15 Bohr magnetons per cell
energy of formation = 0.191 eV/atom
offset from the most stable computed form = 45 meV per atom
mass density = 1999 kg/m³


No. 5
Here is a geometry-optimized BeOs2Ru structure from the Alexandria database. Energies are from PBE.

```
4
Lattice="-3.914 2.473 -1.717 -1.717 -1.295 -4.445 0.938 -1.399 4.642" Properties=species:S:1:pos:R:3 pbc="T T T"
Be -1.797 -1.053 -1.442
Os -0.170 0.036 -0.186
Os -2.646 0.553 -2.895
Ru -2.896 0.831 -0.078
```

M_tot = 0.00 Bohr magnetons per cell
energy of formation = 0.011 eV/atom
mass density = 15956 kg/m³


No. 6
Here is a geometry-optimized Hf2OF structure from the Alexandria database. Energies are from PBE.

```
8
Lattice="-0.361 -4.964 -0.890 5.041 -0.380 0.077 2.198 -3.553 4.567" Properties=species:S:1:pos:R:3 pbc="T T T"
Hf 3.642 -1.927 1.046
F 0.000 0.000 0.000
F 2.089 -5.595 1.635
O 2.340 -2.672 -0.407
Hf 3.587 -4.683 3.123
O 4.790 -3.303 2.118
Hf 0.967 -3.858 0.628
Hf 5.560 -7.327 2.711
```

M_tot = 1.76 Bohr magnetons per cell
formation energy from raw total energies = -1.818 eV per atom
offset from the most stable computed form = 0 meV per atom
mass density = 10079 kg/m³


No. 7
Here is a geometry-optimized SmAlZn2 structure from the Alexandria database. Energies are from PBE.

```
4
Lattice="4.152 0.000 0.000 0.000 4.412 0.000 0.000 0.000 4.412" Properties=species:S:1:pos:R:3 pbc="T T T"
Sm 2.076 2.206 2.206
Zn 0.000 0.000 2.206
Zn 0.000 2.206 0.000
Al 2.076 0.000 0.000
```

M_tot = 0.00 Bohr magnetons per cell
energy of formation = -0.258 eV/atom
mass density = 6331 kg/m³


No. 8
Here is a geometry-optimized PrLuCo2 structure from the Alexandria database. Energies are from PBE.

```
4
Lattice="4.779 0.000 0.000 2.390 4.139 0.000 2.390 1.380 3.902" Properties=species:S:1:pos:R:3 pbc="T T T"
Co 2.390 1.380 0.976
Lu 4.779 2.759 1.951
Co 7.169 4.139 2.927
Pr 0.000 0.000 0.000
```

M_tot = 0.72 Bohr magnetons per cell
energy of formation = -0.045 eV/atom
offset from the most stable computed form = 10 meV per atom
mass density = 9331 kg/m³


No. 9
Here is a geometry-optimized LaSm2Ni9 structure from the Alexandria database. Energies are from PBE.

```
12
Lattice="4.833 0.000 1.438 2.202 4.302 1.438 0.036 0.022 8.716" Properties=species:S:1:pos:R:3 pbc="T T T"
Sm 6.070 3.712 6.119
Ni 4.731 2.893 10.617
La 0.000 0.000 0.000
Ni 2.340 1.431 0.975
Ni 3.023 0.372 7.519
Ni 4.048 3.952 4.074
Sm 1.001 0.612 5.474
Ni 2.948 1.803 3.355
Ni 1.709 2.521 7.519
Ni 4.123 2.521 8.237
Ni 3.536 2.162 5.796
Ni 5.363 1.803 4.074
```

M_tot = 0.09 Bohr magnetons per cell
energy of formation = -0.342 eV/atom
mass density = 8885 kg/m³


No. 10
Here is a geometry-optimized Li6Cd2Pt structure from the Alexandria database. Energies are from PBE.

```
9
Lattice="2.808 0.260 0.308 -1.209 7.108 -3.733 2.508 -0.408 7.937" Properties=species:S:1:pos:R:3 pbc="T T T"
Li 2.938 4.818 3.152
Li 1.109 5.001 -2.313
Cd 2.207 2.172 4.107
Cd 1.899 4.789 0.405
Li 1.168 2.143 1.361
Li -0.127 6.992 -1.252
Li 4.233 -0.032 5.764
Pt 0.000 0.000 0.000
Li 2.997 1.960 6.825
```

M_tot = 0.00 Bohr magnetons per cell
energy of formation = -0.284 eV/atom
offset from the most stable computed form = 3 meV per atom
mass density = 5148 kg/m³


No. 11
Here is a geometry-optimized LaDy4Tl structure from the Alexandria database. Energies are from PBE.

```
12
Lattice="-5.689 2.027 -2.354 -0.743 -5.468 7.180 3.438 7.355 1.901" Properties=species:S:1:pos:R:3 pbc="T T T"
Dy -3.912 1.226 1.568
Dy -2.704 2.187 4.532
La -1.240 5.141 2.960
Dy -0.609 0.350 6.824
Dy -2.386 3.563 -0.097
Dy -5.252 -0.791 4.272
Dy -0.291 1.726 2.194
Dy 0.918 2.687 5.159
Tl -1.572 3.406 7.314
Dy 2.258 4.705 2.454
La -1.754 -1.227 3.767
Tl -1.422 0.508 -0.588
```

M_tot = 0.00 Bohr magnetons per cell
energy of formation = -0.024 eV/atom
offset from the most stable computed form = 75 meV per atom
mass density = 8657 kg/m³


Look up the mass density of the second one. 10602 kg/m³


Look up the M_tot of the third one. 2.29 Bohr magnetons per cell


Among the records above, which one has the highest mass density? BeOs2Ru